A geometry-optimized ErPu2MnS5 structure, computed with PBE.

a b c (Å): 8.438 8.438 11.890
angles (deg): 90.00 90.00 153.65
Positions (direct):
Er  0.199  0.801  0.500
Er  0.801  0.199  0.000
Pu  0.111  0.889  0.184
Pu  0.130  0.870  0.798
Pu  0.870  0.130  0.298
Pu  0.889  0.111  0.684
Mn  0.494  0.506  0.971
Mn  0.506  0.494  0.471
S  0.045  0.955  0.569
S  0.289  0.711  0.158
S  0.312  0.688  0.842
S  0.362  0.638  0.498
S  0.496  0.504  0.277
S  0.504  0.496  0.777
S  0.638  0.362  0.998
S  0.688  0.312  0.342
S  0.711  0.289  0.658
S  0.955  0.045  0.069

Raw formation energy in eV per atom: -1.5190
Magnetic moment in μB per formula unit: 4.42